# 1
This record from Alexandria describes a relaxed structure of CsMg2I. The functional is PBE.

Cell and atoms, written as POSCAR:
```
CsMg2I
1.0
-5.141 5.141 3.598
5.141 -5.141 3.598
5.141 5.141 -3.598
Cs Mg I
2 4 2
Direct
0.000 0.000 0.000
0.750 0.250 0.500
0.164 0.625 0.039
0.375 0.414 0.539
0.586 0.125 0.961
0.875 0.836 0.461
0.250 0.750 0.500
0.500 0.500 0.000
```

Results
**Theoretical density**: 2693 kg/m3
**M_tot**: 0.000 μB per formula unit
**Raw formation energy**: -0.1385 eV per atom
**DFT total energy**: -12.294 eV for the cell shown
**DOS(E_F)**: 0.19 states/eV per cell

=====

# 2
This record from Alexandria describes a relaxed structure of PmReTe. The functional is PBE.

Cell and atoms, written as POSCAR:
```
PmReTe
1.0
2.100 1.213 11.729
-2.100 1.213 11.729
0.000 -2.425 11.729
Pm Re Te
2 2 2
Direct
0.066 0.066 0.066
0.934 0.934 0.934
0.338 0.338 0.338
0.662 0.662 0.662
0.213 0.213 0.213
0.787 0.787 0.787
```

Results
**Theoretical density**: 8501 kg/m3
**M_tot**: 0.000 μB per formula unit
**Raw formation energy**: -0.3279 eV per atom
**DFT total energy**: -42.648 eV for the cell shown
**DOS(E_F)**: 4.65 states/eV per cell

=====

# 3
This record from Alexandria describes a relaxed structure of CsCdS2O8. The functional is PBE.

Cell and atoms, written as POSCAR:
```
CsCdS2O8
1.0
5.218 0.000 0.000
-2.609 4.519 0.000
0.000 0.000 9.030
Cs Cd S O
1 1 2 8
Direct
0.000 0.000 0.000
0.000 0.000 0.500
0.333 0.667 0.710
0.667 0.333 0.290
0.082 0.380 0.658
0.298 0.918 0.658
0.333 0.667 0.875
0.380 0.298 0.342
0.620 0.702 0.658
0.667 0.333 0.125
0.702 0.082 0.342
0.918 0.620 0.342
```

Results
**Theoretical density**: 3411 kg/m3
**M_tot**: 1.142 μB per formula unit
**Raw formation energy**: -1.4007 eV per atom
**DFT total energy**: -66.497 eV for the cell shown
**DOS(E_F)**: 13.76 states/eV per cell

=====

# 4
This record from Alexandria describes a relaxed structure of ScV2H. The functional is PBE.

Cell and atoms, written as POSCAR:
```
ScV2H
1.0
1.378 0.796 7.778
-1.378 0.796 7.778
0.000 -1.592 7.778
Sc V H
1 2 1
Direct
0.000 0.000 0.000
0.116 0.116 0.116
0.884 0.884 0.884
0.500 0.500 0.500
```

Results
**Theoretical density**: 4795 kg/m3
**M_tot**: 0.000 μB per formula unit
**DFT total energy**: -26.710 eV for the cell shown
**DOS(E_F)**: 4.64 states/eV per cell